No. 1
Pm2Y2Te2Se3 PBE optimized geometry; uncorrected energy = -5.80 eV/atom; formation energy without anion corrections = -1.45 eV per atom; space-group type = No. 139; spin magnetization = 0.0 μB per formula unit
1.0
-2.8114 2.8114 7.9612
2.8114 -2.8114 7.9612
2.8114 2.8114 -7.9612
Pm Y Te Se
2 2 2 3
Cartesian
0.0000 0.0000 3.0918
0.0000 0.0000 12.8306
2.8114 0.0000 0.0000
0.0000 2.8114 0.0000
0.0000 0.0000 6.2817
0.0000 0.0000 9.6407
0.0000 0.0000 0.0000
2.8114 0.0000 3.9806
0.0000 2.8114 3.9806



No. 2
YIr2WN PBE optimized geometry; uncorrected energy = -8.75 eV/atom; formation energy without anion corrections = 0.34 eV per atom; space-group type = No. 123; spin magnetization = 0.0 μB per formula unit
1.0
4.1175 0.0000 0.0000
0.0000 4.1175 0.0000
0.0000 0.0000 4.5220
Y Ir W N
1 2 1 1
Cartesian
0.0000 0.0000 0.0000
0.0000 2.0587 2.2610
2.0587 0.0000 2.2610
2.0587 2.0587 0.0000
0.0000 0.0000 2.2610



No. 3
Mn2TcSb PBE optimized geometry; uncorrected energy = -7.88 eV/atom; formation energy without anion corrections = 0.33 eV per atom; space-group type = No. 123; spin magnetization = 6.0 μB per formula unit
1.0
3.0091 0.0000 0.0000
0.0000 3.0091 0.0000
0.0000 0.0000 7.4088
Mn Tc Sb
2 1 1
Cartesian
0.0000 0.0000 1.5533
0.0000 0.0000 5.8555
1.5046 1.5046 0.0000
1.5046 1.5046 3.7044



No. 4
SbPbW2C PBE optimized geometry; uncorrected energy = -5.57 eV/atom; formation energy without anion corrections = 3.03 eV per atom; space-group type = No. 123; spin magnetization = 2.8 μB per formula unit
1.0
5.2461 0.0000 0.0000
0.0000 5.2461 0.0000
0.0000 0.0000 4.1496
Sb Pb W C
1 1 2 1
Cartesian
0.0000 0.0000 0.0000
2.6231 2.6231 2.0748
0.0000 2.6231 2.0748
2.6231 0.0000 2.0748
2.6231 2.6231 0.0000



No. 5
BaZnCuOs2 PBE optimized geometry; uncorrected energy = -2.95 eV/atom; space-group type = No. 123; spin magnetization = 2.3 μB per formula unit
1.0
5.1382 0.0000 0.0000
0.0000 5.1382 0.0000
0.0000 0.0000 5.1054
Ba Zn Cu Os
1 1 1 2
Cartesian
0.0000 0.0000 0.0000
2.5691 2.5691 2.5527
0.0000 0.0000 2.5527
0.0000 2.5691 0.0000
2.5691 0.0000 0.0000



No. 6
MgScFe PBE optimized geometry; uncorrected energy = -4.56 eV/atom; space-group type = No. 216; spin magnetization = 1.5 μB per formula unit
1.0
0.0000 3.2195 3.2195
3.2195 0.0000 3.2195
3.2195 3.2195 0.0000
Mg Sc Fe
1 1 1
Cartesian
0.0000 0.0000 0.0000
1.6097 1.6097 1.6097
3.2195 3.2195 3.2195



No. 7
Ba2Na2Zn PBE optimized geometry; uncorrected energy = -1.64 eV/atom; E above lowest polymorph = 0.000 eV per atom; space-group type = No. 139; spin magnetization = 0.0 μB per formula unit
1.0
-2.0972 2.0972 11.6745
2.0972 -2.0972 11.6745
2.0972 2.0972 -11.6745
Ba Na Zn
2 2 1
Cartesian
0.0000 0.0000 1.9216
0.0000 0.0000 21.4273
0.0000 0.0000 6.8548
0.0000 0.0000 16.4941
0.0000 0.0000 11.6745



No. 8
Cr2GeW PBE optimized geometry; uncorrected energy = -9.14 eV/atom; space-group type = No. 123; spin magnetization = 1.9 μB per formula unit
1.0
3.1069 0.0000 0.0000
0.0000 3.1069 0.0000
0.0000 0.0000 5.6314
Cr Ge W
2 1 1
Cartesian
0.0000 0.0000 1.3787
0.0000 0.0000 4.2527
1.5535 1.5535 0.0000
1.5535 1.5535 2.8157



No. 9
CuP2Ir PBE optimized geometry; uncorrected energy = -5.77 eV/atom; E above lowest polymorph = 0.323 eV per atom; space-group type = No. 71; spin magnetization = 0.0 μB per formula unit
1.0
-1.3935 2.1597 5.2233
1.3935 -2.1597 5.2233
1.3935 2.1597 -5.2233
Cu P Ir
1 2 1
Cartesian
0.0000 0.0000 0.0000
1.3935 0.0000 3.2655
0.0000 2.1597 1.9579
0.0000 0.0000 5.2233



No. 10
Dy8Hg2Pb PBE optimized geometry; uncorrected energy = -3.97 eV/atom; space-group type = No. 12; spin magnetization = 0.0 μB per formula unit
1.0
9.0573 -2.5542 0.0000
9.0573 2.5542 0.0000
-1.8928 0.0000 7.0336
Dy Hg Pb
8 2 1
Cartesian
0.0601 0.0000 1.7519
2.0130 0.0000 5.6908
4.9738 0.0000 3.8203
7.3319 0.0000 0.2846
8.8899 0.0000 6.7490
11.2480 0.0000 3.2133
14.2088 0.0000 1.3428
16.1618 0.0000 5.2817
3.0950 0.0000 1.5101
13.1268 0.0000 5.5235
8.1109 0.0000 3.5168



No. 11
MgZnInGe PBE optimized geometry; uncorrected energy = -2.45 eV/atom; space-group type = No. 216; spin magnetization = 0.0 μB per formula unit
1.0
0.0000 3.4727 3.4727
3.4727 0.0000 3.4727
3.4727 3.4727 0.0000
Mg Zn In Ge
1 1 1 1
Cartesian
0.0000 0.0000 0.0000
1.7364 1.7364 1.7364
3.4727 3.4727 3.4727
5.2091 5.2091 5.2091



No. 12
Th2BeCo6B PBE optimized geometry; uncorrected energy = -7.09 eV/atom; space-group type = No. 225; spin magnetization = 0.6 μB per formula unit
1.0
0.0000 4.0606 4.0606
4.0606 0.0000 4.0606
4.0606 4.0606 0.0000
Th Be Co B
2 1 6 1
Cartesian
2.0303 2.0303 2.0303
6.0908 6.0908 6.0908
0.0000 0.0000 0.0000
4.0606 4.0606 2.0935
4.0606 2.0935 4.0606
6.0276 4.0606 4.0606
2.0935 4.0606 4.0606
4.0606 6.0276 4.0606
4.0606 4.0606 6.0276
4.0606 4.0606 4.0606



No. 13
GeHPt PBE optimized geometry; uncorrected energy = -4.79 eV/atom; E above lowest polymorph = 0.029 eV per atom; space-group type = No. 62; spin magnetization = 0.0 μB per formula unit
1.0
6.7303 0.0000 0.0000
0.0000 4.9824 0.0000
0.0000 0.0000 4.6586
Ge H Pt
4 4 4
Cartesian
0.7163 1.2456 0.6643
2.6488 3.7368 2.9936
4.0815 1.2456 1.6651
6.0139 3.7368 3.9944
1.6600 1.2456 2.9762
1.7052 3.7368 0.6469
5.0251 1.2456 4.0117
5.0703 3.7368 1.6824
0.3795 3.7368 1.6597
2.9856 1.2456 3.9890
3.7446 3.7368 0.6696
6.3508 1.2456 2.9989



No. 14
Rb4Ce3SnTe8 PBE optimized geometry; uncorrected energy = -4.35 eV/atom; formation energy without anion corrections = -1.18 eV per atom; space-group type = No. 166; spin magnetization = 2.0 μB per formula unit
1.0
4.6896 2.7076 8.4523
-4.6896 2.7076 8.4523
0.0000 -5.4151 8.4523
Rb Ce Sn Te
4 3 1 8
Cartesian
0.0000 0.0000 0.0000
-2.3448 -1.3538 8.4523
-2.3448 1.3538 16.9046
0.0000 2.7076 8.4523
-4.6896 0.0000 12.6785
-2.3448 1.3538 4.2262
2.3448 1.3538 4.2262
0.0000 0.0000 12.6785
-2.3836 -1.3762 14.3637
0.0000 0.0000 5.9434
0.0000 -2.7523 10.9933
-2.3836 1.3762 10.9933
2.3836 -1.3762 14.3637
0.0000 2.7523 14.3637
0.0000 0.0000 19.4135
2.3836 1.3762 10.9933



No. 15
Ba2TaTlCo PBE optimized geometry; uncorrected energy = -4.48 eV/atom; space-group type = No. 123; spin magnetization = 1.0 μB per formula unit
1.0
6.1472 0.0000 0.0000
0.0000 6.1472 0.0000
0.0000 0.0000 4.5567
Ba Ta Tl Co
2 1 1 1
Cartesian
0.0000 3.0736 0.0000
3.0736 0.0000 0.0000
0.0000 0.0000 2.2784
3.0736 3.0736 2.2784
0.0000 0.0000 0.0000